1.
The following is a DFT calculation (PBE) of crystalline Er3Cd4Pt4 at its relaxed geometry.

```
data_Er3Cd4Pt4
_cell_length_a 3.618
_cell_length_b 8.041
_cell_length_c 9.267
_cell_angle_alpha 115.71
_cell_angle_beta 101.26
_cell_angle_gamma 90.00
_symmetry_space_group_name_H-M 'P 1'
_symmetry_Int_Tables_number 1
loop_
_symmetry_equiv_pos_as_xyz
'x,y,z'
loop_
_atom_site_label
_atom_site_type_symbol
_atom_site_fract_x
_atom_site_fract_y
_atom_site_fract_z
_atom_site_occupancy
Er1 Er 0.105 0.105 0.210 1
Er2 Er 0.895 0.895 0.790 1
Er3 Er 0.000 0.500 0.000 1
Cd1 Cd 0.335 0.150 0.671 1
Cd2 Cd 0.665 0.479 0.329 1
Cd3 Cd 0.665 0.850 0.329 1
Cd4 Cd 0.335 0.521 0.671 1
Pt1 Pt 0.259 0.759 0.518 1
Pt2 Pt 0.741 0.241 0.482 1
Pt3 Pt 0.500 0.795 0.000 1
Pt4 Pt 0.500 0.205 0.000 1
```

Values from the calculation:
Energy   -4.53 eV per atom
Volume   237 Å³ per cell
DFT formation energy   -0.758 eV per atom

2.
The following is a DFT calculation (PBE) of crystalline ZrCl3 at its relaxed geometry.

```
data_ZrCl3
_cell_length_a 10.515
_cell_length_b 10.515
_cell_length_c 10.515
_cell_angle_alpha 18.24
_cell_angle_beta 18.24
_cell_angle_gamma 18.24
_symmetry_space_group_name_H-M 'P 1'
_symmetry_Int_Tables_number 1
loop_
_symmetry_equiv_pos_as_xyz
'x,y,z'
loop_
_atom_site_label
_atom_site_type_symbol
_atom_site_fract_x
_atom_site_fract_y
_atom_site_fract_z
_atom_site_occupancy
Zr1 Zr 0.500 0.500 0.500 1
Cl1 Cl 0.000 0.000 0.000 1
Cl2 Cl 0.890 0.890 0.890 1
Cl3 Cl 0.110 0.110 0.110 1
```

Values from the calculation:
Energy   -4.52 eV per atom
Volume   99 Å³ per cell
Raw formation energy   -1.00 eV per atom

3.
The following is a DFT calculation (PBE) of crystalline Li3Br at its relaxed geometry.

```
data_Li3Br
_cell_length_a 7.365
_cell_length_b 7.365
_cell_length_c 7.365
_cell_angle_alpha 152.56
_cell_angle_beta 149.40
_cell_angle_gamma 41.57
_symmetry_space_group_name_H-M 'P 1'
_symmetry_Int_Tables_number 1
loop_
_symmetry_equiv_pos_as_xyz
'x,y,z'
loop_
_atom_site_label
_atom_site_type_symbol
_atom_site_fract_x
_atom_site_fract_y
_atom_site_fract_z
_atom_site_occupancy
Br1 Br 0.000 0.000 0.000 1
Li1 Li 0.808 0.308 0.500 1
Li2 Li 0.500 0.500 0.000 1
Li3 Li 0.192 0.692 0.500 1
```

Values from the calculation:
Energy   -2.40 eV per atom
Volume   94 Å³ per cell
Distance to the lowest polymorph of the same formula   67 meV per atom
Raw formation energy   -0.54 eV per atom

4.
The following is a DFT calculation (PBE) of crystalline ThTi2Cu at its relaxed geometry.

```
data_ThTi2Cu
_cell_length_a 3.235
_cell_length_b 3.235
_cell_length_c 7.431
_cell_angle_alpha 90.00
_cell_angle_beta 90.00
_cell_angle_gamma 90.00
_symmetry_space_group_name_H-M 'P 1'
_symmetry_Int_Tables_number 1
loop_
_symmetry_equiv_pos_as_xyz
'x,y,z'
loop_
_atom_site_label
_atom_site_type_symbol
_atom_site_fract_x
_atom_site_fract_y
_atom_site_fract_z
_atom_site_occupancy
Cu1 Cu 0.500 0.500 0.000 1
Th1 Th 0.500 0.500 0.500 1
Ti1 Ti 0.000 0.000 0.809 1
Ti2 Ti 0.000 0.000 0.191 1
```

Values from the calculation:
Energy   -6.72 eV per atom
Volume   78 Å³ per cell
DFT formation energy   0.109 eV per atom